1.
Crystalline Ta2BeSe at its relaxed geometry, computed with PBE.

E_form (uncorrected) = 3.3 eV/f.u.
final energy = -110.3 eV for the cell shown
excess energy over the best structure of this formula in the dataset = 905 meV/atom
calculated volume = 328.03 Å³ per cell
mass density = 9.1 g cm⁻³

a = 5.2527 Å, b = 5.2527 Å, c = 11.8888 Å
α = 90.00°, β = 90.00°, γ = 90.00°
Space group I-42d (No. 122)
One atom of each set of equivalent atoms:
1 Ta 0.1870 0.2500 0.1250
2 Be 0.0000 0.0000 0.0000
3 Se 0.0000 0.0000 0.5000

2.
Crystalline TaBeVSe2 at its relaxed geometry, computed with PBE.

E_form (uncorrected) = 4.6 eV/f.u.
final energy = -27.0 eV for the cell shown
calculated volume = 109.61 Å³ per cell
mass density = 6.0 g cm⁻³

a = 4.9376 Å, b = 4.9376 Å, c = 4.4960 Å
α = 90.00°, β = 90.00°, γ = 90.00°
Space group P4/mmm (No. 123)
One atom of each set of equivalent atoms:
1 Ta 0.0000 0.0000 0.0000
2 Be 0.0000 0.0000 0.5000
3 V 0.5000 0.5000 0.5000
4 Se 0.0000 0.5000 0.0000

3.
Crystalline TaBe2ZnSe at its relaxed geometry, computed with PBE.

E_form (uncorrected) = 5.0 eV/f.u.
final energy = -19.0 eV for the cell shown
calculated volume = 109.15 Å³ per cell
mass density = 5.2 g cm⁻³

a = 4.7571 Å, b = 4.7571 Å, c = 4.8234 Å
α = 90.00°, β = 90.00°, γ = 90.00°
Space group P4/mmm (No. 123)
One atom of each set of equivalent atoms:
1 Ta 0.0000 0.0000 0.0000
2 Be 0.0000 0.5000 0.0000
3 Zn 0.5000 0.5000 0.5000
4 Se 0.0000 0.0000 0.5000

4.
Crystalline Tb5BeSe4 at its relaxed geometry, computed with PBE.

E_form (uncorrected) = -14.4 eV/f.u.
final energy = -110.5 eV for the cell shown
calculated volume = 483.04 Å³ per cell
mass density = 7.7 g cm⁻³

a = 9.1478 Å, b = 9.1478 Å, c = 5.7723 Å
α = 90.00°, β = 90.00°, γ = 90.00°
Space group I4/m (No. 87)
One atom of each set of equivalent atoms:
1 Tb 0.0000 0.0000 0.0000
2 Tb 0.0959 0.2863 0.5000
3 Be 0.0000 0.0000 0.5000
4 Se 0.0947 0.3038 0.0000

5.
Crystalline Be2TcSe at its relaxed geometry, computed with PBE.

E_form (uncorrected) = 0.9 eV/f.u.
final energy = -40.7 eV for the cell shown
calculated volume = 97.04 Å³ per cell
mass density = 6.7 g cm⁻³

a = 5.0842 Å, b = 5.9595 Å, c = 3.2026 Å
α = 90.00°, β = 90.00°, γ = 90.00°
Space group Cmmm (No. 65)
One atom of each set of equivalent atoms:
1 Be 0.2500 0.2500 0.0000
2 Tc 0.0000 0.0000 0.5000
3 Se 0.0000 0.5000 0.5000

6.
Crystalline Be2TcSe at its relaxed geometry, computed with PBE.

E_form (uncorrected) = 0.5 eV/f.u.
final energy = -20.8 eV for the cell shown
calculated volume = 48.98 Å³ per cell
mass density = 6.6 g cm⁻³

a = 3.1176 Å, b = 3.1176 Å, c = 5.0393 Å
α = 90.00°, β = 90.00°, γ = 90.00°
Space group P4mm (No. 99)
One atom of each set of equivalent atoms:
1 Be 0.0000 0.0000 0.0000
2 Be 0.5000 0.5000 0.2155
3 Tc 0.5000 0.5000 0.7591
4 Se 0.0000 0.0000 0.4660